[1]
The following is a DFT calculation (PBE-GGA) of Y2BeAlCu6 after structural relaxation.

Unit cell a=5.840 b=6.502 c=6.519 alpha=53.31 beta=63.36 gamma=89.86
Sites, in units of the cell vectors:
Y  0.781  0.219  0.439
Y  0.219  0.781  0.561
Be  0.000  0.000  0.000
Al  0.500  0.500  0.000
Cu  0.244  0.327  0.518
Cu  0.672  0.760  0.087
Cu  0.238  0.757  0.092
Cu  0.762  0.243  0.908
Cu  0.328  0.240  0.913
Cu  0.756  0.673  0.482

Output
For the calculated formation energy, the calculation gives -0.15 eV per atom. Its space group is No. 2. The calculation puts the density at 6.0 g/cm³. The total magnetization comes out at 0.00 μB/f.u. The total energy is -4.64 eV per atom.

[2]
The following is a DFT calculation (PBE-GGA) of TlOsW2 after structural relaxation.

Unit cell a=5.222 b=5.222 c=5.222 alpha=136.14 beta=136.14 gamma=63.77
Sites, in units of the cell vectors:
Os  0.250  0.750  0.500
Tl  0.750  0.250  0.500
W  0.000  0.000  0.000
W  0.500  0.500  0.000

Output
For the calculated formation energy, the calculation gives 0.83 eV per atom. Its space group is No. 139. The calculation puts the density at 18.8 g/cm³. The total magnetization comes out at 0.00 μB/f.u. The total energy is -9.05 eV per atom.

Repeat the first record exactly.
The following is a DFT calculation (PBE-GGA) of Y2BeAlCu6 after structural relaxation.

Unit cell a=5.840 b=6.502 c=6.519 alpha=53.31 beta=63.36 gamma=89.86
Sites, in units of the cell vectors:
Y  0.781  0.219  0.439
Y  0.219  0.781  0.561
Be  0.000  0.000  0.000
Al  0.500  0.500  0.000
Cu  0.244  0.327  0.518
Cu  0.672  0.760  0.087
Cu  0.238  0.757  0.092
Cu  0.762  0.243  0.908
Cu  0.328  0.240  0.913
Cu  0.756  0.673  0.482

Output
For the calculated formation energy, the calculation gives -0.15 eV per atom. Its space group is No. 2. The calculation puts the density at 6.0 g/cm³. The total magnetization comes out at 0.00 μB/f.u. The total energy is -4.64 eV per atom.

Question: Which value of calculated formation energy does entry 2 give?
Answer: 0.83 eV per atom